SrMg SCAN single point on PBEsol structure; uncorrected energy = -1.001 Ry/atom; crystal system = orthorhombic; formation enthalpy at 0 K = 0.005 eV/atom; N(E_F) = 0.942 states/eV/atom
1.0
12.001 0.000 0.000
0.000 10.489 0.000
0.000 0.000 7.047
Sr Mg
12 12
Direct
0.122 0.250 0.000
0.122 0.250 0.500
0.186 0.630 0.250
0.186 0.870 0.750
0.370 0.033 0.250
0.370 0.467 0.750
0.630 0.533 0.250
0.630 0.967 0.750
0.814 0.130 0.250
0.814 0.370 0.750
0.878 0.750 0.000
0.878 0.750 0.500
0.073 0.546 0.750
0.073 0.954 0.250
0.371 0.130 0.750
0.371 0.370 0.250
0.439 0.750 0.000
0.439 0.750 0.500
0.561 0.250 0.000
0.561 0.250 0.500
0.629 0.630 0.750
0.629 0.870 0.250
0.927 0.046 0.750
0.927 0.454 0.250